K2PdAu2O6, relaxed, DFT GGA-PBE; DFT total energy = -4.358 eV/atom; formation energy (no corrections) = -37.2 kJ/mol of atoms; SG = R-3m (166); total magnetic moment = 3.376 μB per formula unit; Fermi-level density of states = 7.6 states/eV per cell
1.0
3.0556 1.7641 5.8570
-3.0556 1.7641 5.8570
0.0000 -3.5283 5.8570
K Pd Au O
2 1 2 6
direct
0.2070 0.2070 0.2070 K
0.7930 0.7930 0.7930 K
0.0000 0.0000 0.0000 Pd
0.3966 0.3966 0.3966 Au
0.6034 0.6034 0.6034 Au
0.2145 0.7799 0.7799 O
0.2201 0.2201 0.7855 O
0.2201 0.7855 0.2201 O
0.7799 0.2145 0.7799 O
0.7799 0.7799 0.2145 O
0.7855 0.2201 0.2201 O